Entry 1:
VASP calculation (PBE) on an optimized crystal structure of SmThSeS.

Summary:
- Crystal system: trigonal
- Uncorrected energy: -6.6833 eV/atom
- Calculated density: 8.2 g/cm³
- Space group: R3m

The structure in extended XYZ format:
```
4
Lattice="1.9808 1.1436 7.3190 -1.9808 1.1436 7.3190 0.0000 -2.2873 7.3190" Properties=species:S:1:pos:R:3 pbc="T T T"
Sm 0.0000 0.0000 0.0000
Th 0.0000 0.0000 17.9838
Se 0.0000 0.0000 12.7084
S 0.0000 0.0000 8.9430
```

Entry 2:
VASP calculation (PBE) on an optimized crystal structure of MgTe4Ir.

Summary:
- Crystal system: cubic
- Uncorrected energy: -2.8574 eV/atom
- Calculated density: 7.3 g/cm³
- Space group: F-43m

The structure in extended XYZ format:
```
6
Lattice="0.0000 4.3555 4.3555 4.3555 0.0000 4.3555 4.3555 4.3555 0.0000" Properties=species:S:1:pos:R:3 pbc="T T T"
Mg 0.0000 0.0000 0.0000
Te 5.4372 3.2738 3.2738
Te 3.2738 5.4372 3.2738
Te 3.2738 3.2738 5.4372
Te 5.4372 5.4372 5.4372
Ir 2.1778 2.1778 2.1778
```

Entry 3:
VASP calculation (PBE) on an optimized crystal structure of YHg8.

Summary:
- Crystal system: tetragonal
- Uncorrected energy: -1.1232 eV/atom
- Calculated density: 12.5 g/cm³
- Energy of formation: -0.137 eV per atom
- Space group: I4/mmm

The structure in extended XYZ format:
```
9
Lattice="-5.0461 5.0461 2.2103 5.0461 -5.0461 2.2103 5.0461 5.0461 -2.2103" Properties=species:S:1:pos:R:3 pbc="T T T"
Y 0.0000 0.0000 0.0000
Hg 3.3677 0.0000 0.0000
Hg 6.7246 0.0000 0.0000
Hg 0.0000 3.3677 0.0000
Hg 3.3672 3.3672 0.0000
Hg 1.6790 -1.6790 2.2103
Hg 0.0000 6.7246 0.0000
Hg -1.6790 1.6790 2.2103
Hg 1.6790 1.6790 2.2103
```

Entry 4:
VASP calculation (PBE) on an optimized crystal structure of Er7RuPb4.

Summary:
- Crystal system: monoclinic
- Uncorrected energy: -4.8333 eV/atom
- Calculated density: 9.6 g/cm³
- Energy of formation: -0.163 eV per atom
- Space group: C2/m

The structure in extended XYZ format:
```
12
Lattice="7.9464 -2.6039 0.0000 7.9464 2.6039 0.0000 -7.4334 0.0000 8.7665" Properties=species:S:1:pos:R:3 pbc="T T T"
Er 0.0000 0.0000 0.0000
Er -1.7968 0.0000 4.9074
Er 3.2782 0.0000 1.1442
Er 1.6305 0.0000 6.4567
Er 6.8289 0.0000 2.3098
Er 5.1812 0.0000 7.6222
Er 10.2562 0.0000 3.8590
Ru 7.9464 0.0000 0.0000
Pb -4.3587 0.0000 6.7588
Pb 0.8440 0.0000 3.0743
Pb 7.6154 0.0000 5.6922
Pb 12.8181 0.0000 2.0077
```

Entry 5:
VASP calculation (PBE) on an optimized crystal structure of LaMgTa2B.

Summary:
- Crystal system: tetragonal
- Uncorrected energy: -4.4378 eV/atom
- Calculated density: 6.4 g/cm³
- Energy of formation: 2.943 eV per atom
- Space group: P4/mmm

The structure in extended XYZ format:
```
5
Lattice="4.9905 0.0000 0.0000 0.0000 4.9905 0.0000 0.0000 0.0000 5.5525" Properties=species:S:1:pos:R:3 pbc="T T T"
La 0.0000 0.0000 0.0000
Mg 0.0000 0.0000 2.7763
Ta 0.0000 2.4952 0.0000
Ta 2.4952 0.0000 0.0000
B 2.4952 2.4952 2.7763
```

Entry 6:
VASP calculation (PBE) on an optimized crystal structure of CsAlI.

Summary:
- Energy above the lowest structure with this stoichiometry: 0.065 eV/atom
- Crystal system: triclinic
- Uncorrected energy: -2.5859 eV/atom
- Calculated density: 3.1 g/cm³
- Space group: P1

The structure in extended XYZ format:
```
6
Lattice="4.8326 0.0000 0.0000 -2.4110 7.1785 0.0000 -0.0216 -0.9662 8.9583" Properties=species:S:1:pos:R:3 pbc="T T T"
Cs 0.0000 0.0000 0.0000
Cs -0.0228 1.8492 3.9923
Al -0.0207 5.8002 3.4357
Al 2.3946 4.8608 3.4270
I 2.3951 -0.2520 6.0655
I 2.3993 3.2493 1.0618
```

Entry 7:
VASP calculation (PBE) on an optimized crystal structure of Sr6Li2N.

Summary:
- Energy above the lowest structure with this stoichiometry: 0.191 eV/atom
- Crystal system: monoclinic
- Uncorrected energy: -2.4392 eV/atom
- Calculated density: 2.4 g/cm³
- Space group: C2/m

The structure in extended XYZ format:
```
9
Lattice="6.9734 -2.1243 0.0000 6.9734 2.1243 0.0000 -2.6737 0.0000 13.1663" Properties=species:S:1:pos:R:3 pbc="T T T"
Sr 0.0105 0.0000 4.5557
Sr 0.6536 0.0000 7.9619
Sr 2.3797 0.0000 11.9306
Sr 8.8933 0.0000 1.2357
Sr 10.6194 0.0000 5.2044
Sr 11.2625 0.0000 8.6107
Li 4.8820 0.0000 2.2673
Li 6.3910 0.0000 10.8990
N -1.3369 0.0000 6.5832
```

Entry 8:
VASP calculation (PBE) on an optimized crystal structure of CdHg2P.

Summary:
- Energy above the lowest structure with this stoichiometry: 0.138 eV/atom
- Crystal system: orthorhombic
- Uncorrected energy: -1.5180 eV/atom
- Calculated density: 8.7 g/cm³
- Energy of formation: 0.214 eV per atom
- Space group: Pmm2

The structure in extended XYZ format:
```
4
Lattice="3.7606 0.0000 0.0000 0.0000 3.8134 0.0000 0.0000 0.0000 7.2514" Properties=species:S:1:pos:R:3 pbc="T T T"
Cd 0.0000 0.0000 0.0000
Hg 0.0000 0.0000 4.2780
Hg 1.8803 1.9067 2.7545
P 1.8803 1.9067 0.1577
```

Q: What is the uncorrected energy in the third record?
A: -1.1232 eV/atom

Q: The highest uncorrected energy belongs to which entry?
A: YHg8

Q: What is the formula in the first record?
A: SmThSeS

Q: Number 5 is which compound?
A: LaMgTa2B